Record 1
{"formula": "Li8SnPb2", "functional": "PBE-GGA", "state": "optimized geometry", "lattice": [[-2.003, -3.658, 2.273], [6.591, -2.741, 1.398], [-2.091, 6.392, 3.481]], "species": ["Li", "Li", "Li", "Li", "Li", "Li", "Li", "Li", "Sn", "Pb", "Pb"], "fractional_positions": [[0.643, 0.844, 0.286], [0.358, 0.558, 0.717], [0.153, 0.154, 0.305], [0.999, 0.289, 0.999], [0.847, 0.846, 0.695], [0.642, 0.442, 0.283], [0.357, 0.156, 0.714], [0.001, 0.711, 0.001], [0.500, 0.000, 0.000], [0.206, 0.705, 0.412], [0.794, 0.295, 0.588]], "sg": "C2/m, No. 12", "relative_energy_ev_per_fu": 0.17, "magmom_total_mub_per_cell": 0.000}



Record 2
{"formula": "Sc2CrIrI", "functional": "PBE-GGA", "state": "optimized geometry", "lattice": [[-1.773, 3.205, 3.621], [-4.398, -1.212, -1.081], [0.197, -3.806, 3.465]], "species": ["I", "Cr", "Ir", "Sc", "Sc"], "fractional_positions": [[0.000, 0.000, 0.000], [0.000, 0.500, 0.000], [0.500, 0.500, 0.500], [0.000, 0.000, 0.500], [0.500, 0.000, 0.000]], "sg": "P4/mmm, No. 123", "relative_energy_ev_per_fu": 1.41, "formation_energy_uncorrected_ev_per_atom": 1.105, "magmom_total_mub_per_cell": 2.807}



Record 3
{"formula": "BaMg6In4", "functional": "PBE-GGA", "state": "optimized geometry", "lattice": [[4.720, 0.000, 0.000], [0.000, 8.409, 0.000], [0.000, -4.205, 7.283]], "species": ["Ba", "Mg", "Mg", "Mg", "Mg", "Mg", "Mg", "In", "In", "In", "In"], "fractional_positions": [[0.000, 0.000, 0.000], [0.000, 0.534, 0.069], [0.500, 0.586, 0.793], [0.000, 0.534, 0.466], [0.000, 0.931, 0.466], [0.500, 0.207, 0.793], [0.500, 0.207, 0.414], [0.500, 0.798, 0.596], [0.500, 0.404, 0.202], [0.500, 0.798, 0.202], [0.000, 0.333, 0.667]], "sg": "P-6m2, No. 187", "magmom_total_mub_per_cell": 0.000, "final_energy_ev_per_atom": -2.24}



Record 4
{"formula": "AgBi2Pd3", "functional": "PBE-GGA", "state": "optimized geometry", "lattice": [[-0.379, -5.108, -2.474], [-2.717, -2.727, 6.047], [-4.704, 2.636, -4.723]], "species": ["Ag", "Ag", "Bi", "Bi", "Bi", "Bi", "Pd", "Pd", "Pd", "Pd", "Pd", "Pd"], "fractional_positions": [[0.720, 0.824, 0.824], [0.220, 0.176, 0.176], [0.720, 0.157, 0.485], [0.220, 0.515, 0.843], [0.220, 0.843, 0.515], [0.720, 0.485, 0.157], [0.470, 0.167, 0.833], [0.970, 0.167, 0.833], [0.470, 0.500, 0.500], [0.970, 0.500, 0.500], [0.970, 0.833, 0.167], [0.470, 0.833, 0.167]], "sg": "Cmcm, No. 63", "magmom_total_mub_per_cell": 0.000, "final_energy_ev_per_atom": -4.51}



Record 5
{"formula": "Sm3Y2Cd2", "functional": "PBE-GGA", "state": "optimized geometry", "lattice": [[-4.164, -2.709, 2.245], [0.070, 0.926, -5.371], [5.248, -6.669, 1.683]], "species": ["Sm", "Sm", "Sm", "Y", "Y", "Cd", "Cd"], "fractional_positions": [[0.500, 0.000, 0.000], [0.658, 0.316, 0.473], [0.342, 0.684, 0.527], [0.926, 0.851, 0.277], [0.074, 0.149, 0.723], [0.789, 0.578, 0.867], [0.211, 0.422, 0.133]], "sg": "R-3m, No. 166", "relative_energy_ev_per_fu": 0.00, "magmom_total_mub_per_cell": 0.000}



Record 6
{"formula": "TbTm3Th2P6", "functional": "PBE-GGA", "state": "optimized geometry", "lattice": [[-0.541, 3.932, -0.760], [-6.666, -0.048, 4.493], [6.546, 0.019, 6.179]], "species": ["Tb", "Tm", "Tm", "Tm", "Th", "Th", "P", "P", "P", "P", "P", "P"], "fractional_positions": [[0.500, 0.000, 0.000], [0.500, 0.500, 0.000], [0.834, 0.166, 0.668], [0.166, 0.834, 0.332], [0.835, 0.670, 0.670], [0.165, 0.330, 0.330], [0.332, 0.924, 0.665], [0.664, 0.589, 0.329], [0.668, 0.076, 0.335], [0.997, 0.252, 0.995], [0.003, 0.748, 0.005], [0.336, 0.411, 0.671]], "sg": "C2/m, No. 12", "magmom_total_mub_per_cell": 0.000, "final_energy_ev_per_atom": -7.04}



Record 7
{"formula": "LiFeIr2", "functional": "PBE-GGA", "state": "optimized geometry", "lattice": [[-0.170, 0.909, -2.816], [-3.939, -1.275, -0.173], [-1.265, 3.733, 1.281]], "species": ["Fe", "Ir", "Ir", "Li"], "fractional_positions": [[0.500, 0.000, 0.500], [0.000, 0.000, 0.000], [0.000, 0.500, 0.500], [0.500, 0.500, 0.000]], "sg": "P4/mmm, No. 123", "magmom_total_mub_per_cell": 2.893, "final_energy_ev_per_atom": -7.07}



Record 8
{"formula": "FeNiAs2Br", "functional": "PBE-GGA", "state": "optimized geometry", "lattice": [[4.546, 0.000, 0.000], [0.000, 4.546, 0.000], [0.000, 0.000, 5.084]], "species": ["Ni", "As", "As", "Fe", "Br"], "fractional_positions": [[0.000, 0.000, 0.000], [0.000, 0.500, 0.000], [0.500, 0.000, 0.000], [0.500, 0.500, 0.500], [0.000, 0.000, 0.500]], "sg": "P4/mmm, No. 123", "relative_energy_ev_per_fu": 0.18, "formation_energy_uncorrected_ev_per_atom": 0.745, "magmom_total_mub_per_cell": 2.661}



Record 9
{"formula": "Pm3SiBrCl", "functional": "PBE-GGA", "state": "optimized geometry", "lattice": [[4.088, 0.000, 0.000], [0.000, 8.752, -1.992], [0.000, -4.658, 10.332]], "species": ["Pm", "Pm", "Pm", "Pm", "Pm", "Pm", "Si", "Si", "Br", "Br", "Cl", "Cl"], "fractional_positions": [[0.750, 0.957, 0.101], [0.250, 0.043, 0.899], [0.250, 0.680, 0.535], [0.750, 0.320, 0.465], [0.750, 0.467, 0.186], [0.250, 0.533, 0.814], [0.250, 0.280, 0.239], [0.750, 0.720, 0.761], [0.250, 0.728, 0.142], [0.750, 0.272, 0.858], [0.250, 0.181, 0.548], [0.750, 0.819, 0.452]], "sg": "P2_1/m, No. 11", "formation_energy_uncorrected_ev_per_atom": -1.188, "magmom_total_mub_per_cell": 0.000}



Record 10
{"formula": "KNd2Co", "functional": "PBE-GGA", "state": "optimized geometry", "lattice": [[-2.319, 0.308, 3.296], [-0.666, -3.246, 2.314], [8.029, 1.529, 7.985]], "species": ["Co", "K", "Nd", "Nd"], "fractional_positions": [[0.500, 0.500, 0.500], [0.000, 0.000, 0.000], [0.124, 0.124, 0.629], [0.876, 0.876, 0.371]], "sg": "R-3m, No. 166", "magmom_total_mub_per_cell": 0.000, "final_energy_ev_per_atom": -4.35}



Record 11
{"formula": "Dy3ThSc6", "functional": "PBE-GGA", "state": "optimized geometry", "lattice": [[8.180, 0.000, 4.341], [2.938, 7.634, 4.341], [2.013, 1.382, 6.085]], "species": ["Dy", "Dy", "Dy", "Th", "Sc", "Sc", "Sc", "Sc", "Sc", "Sc"], "fractional_positions": [[0.400, 0.400, 0.800], [0.643, 0.643, 0.072], [0.157, 0.157, 0.528], [0.900, 0.900, 0.300], [0.900, 0.567, 0.300], [0.233, 0.900, 0.300], [0.567, 0.233, 0.300], [0.066, 0.400, 0.800], [0.734, 0.066, 0.800], [0.400, 0.734, 0.800]], "sg": "R32, No. 155", "relative_energy_ev_per_fu": 2.78, "magmom_total_mub_per_cell": 0.000}



Record 12
{"formula": "NaSrLa2Ru", "functional": "PBE-GGA", "state": "optimized geometry", "lattice": [[-3.638, -3.307, 2.358], [3.798, -3.892, 0.401], [1.670, 2.216, 5.684]], "species": ["Ru", "Na", "Sr", "La", "La"], "fractional_positions": [[0.000, 0.000, 0.000], [0.500, 0.500, 0.500], [0.000, 0.000, 0.500], [0.000, 0.500, 0.000], [0.500, 0.000, 0.000]], "sg": "P4/mmm, No. 123", "relative_energy_ev_per_fu": 0.00, "magmom_total_mub_per_cell": 0.000}



Record 13
{"formula": "TaAgPt2", "functional": "PBE-GGA", "state": "optimized geometry", "lattice": [[3.506, 0.000, 0.000], [0.000, 3.506, 0.000], [0.000, 0.000, 5.516]], "species": ["Ag", "Pt", "Pt", "Ta"], "fractional_positions": [[0.500, 0.500, 0.762], [0.000, 0.000, 0.996], [0.500, 0.500, 0.268], [0.000, 0.000, 0.474]], "sg": "P4mm, No. 99", "magmom_total_mub_per_cell": 0.000, "final_energy_ev_per_atom": -6.89}



Record 14
{"formula": "LiSnB2Pb", "functional": "PBE-GGA", "state": "optimized geometry", "lattice": [[-1.564, 2.257, -3.568], [-4.259, 1.181, 2.614], [1.969, 3.755, 1.512]], "species": ["Pb", "B", "B", "Sn", "Li"], "fractional_positions": [[0.500, 0.500, 0.500], [0.000, 0.000, 0.500], [0.500, 0.000, 0.000], [0.000, 0.000, 0.000], [0.000, 0.500, 0.000]], "sg": "P4/mmm, No. 123", "magmom_total_mub_per_cell": 0.000, "final_energy_ev_per_atom": -3.27}



Record 15
{"formula": "LiSbCl2", "functional": "PBE-GGA", "state": "optimized geometry", "lattice": [[3.234, 0.000, 0.000], [0.000, 3.235, 0.000], [0.000, 0.000, 8.059]], "species": ["Cl", "Cl", "Li", "Sb"], "fractional_positions": [[0.000, 0.000, 0.052], [0.000, 0.000, 0.448], [0.500, 0.500, 0.250], [0.500, 0.500, 0.750]], "sg": "P4/mmm, No. 123", "relative_energy_ev_per_fu": 1.37, "formation_energy_uncorrected_ev_per_atom": -0.736, "magmom_total_mub_per_cell": 0.000}



Record 16
{"formula": "ZrSc", "functional": "PBE-GGA", "state": "optimized geometry", "lattice": [[-4.075, 2.744, 2.950], [-2.985, -4.874, 0.411], [2.829, -1.301, 5.118]], "species": ["Zr", "Zr", "Zr", "Zr", "Sc", "Sc", "Sc", "Sc"], "fractional_positions": [[0.174, 0.174, 0.000], [0.674, 0.326, 0.500], [0.326, 0.674, 0.500], [0.826, 0.826, 0.000], [0.322, 0.678, 0.000], [0.822, 0.822, 0.500], [0.178, 0.178, 0.500], [0.678, 0.322, 0.000]], "sg": "P4_2/mnm, No. 136", "magmom_total_mub_per_cell": 0.000, "final_energy_ev_per_atom": -6.93}



Record 17
{"formula": "BaAgAsSe3", "functional": "PBE-GGA", "state": "optimized geometry", "lattice": [[6.741, -0.504, 0.226], [2.713, 6.191, 0.226], [2.879, 1.732, 8.367]], "species": ["Ba", "Ba", "Ag", "Ag", "As", "As", "Se", "Se", "Se", "Se", "Se", "Se"], "fractional_positions": [[0.709, 0.709, 0.818], [0.291, 0.291, 0.182], [0.308, 0.692, 0.500], [0.692, 0.308, 0.500], [0.087, 0.087, 0.822], [0.913, 0.913, 0.178], [0.265, 0.265, 0.560], [0.203, 0.704, 0.806], [0.704, 0.203, 0.806], [0.296, 0.797, 0.194], [0.797, 0.296, 0.194], [0.735, 0.735, 0.440]], "sg": "C2/m, No. 12", "formation_energy_uncorrected_ev_per_atom": -0.735, "magmom_total_mub_per_cell": 0.000}



Record 18
{"formula": "Ti4Tc3Ir", "functional": "PBE-GGA", "state": "optimized geometry", "lattice": [[-2.708, -0.838, -1.231], [1.827, -0.019, -4.005], [2.151, -8.449, 1.021]], "species": ["Ir", "Tc", "Tc", "Tc", "Ti", "Ti", "Ti", "Ti"], "fractional_positions": [[0.500, 0.500, 0.000], [0.500, 0.000, 0.247], [0.500, 0.500, 0.500], [0.500, 0.000, 0.753], [0.000, 0.000, 0.500], [0.000, 0.500, 0.745], [0.000, 0.000, 0.000], [0.000, 0.500, 0.255]], "sg": "Pmmm, No. 47", "magmom_total_mub_per_cell": 0.000, "final_energy_ev_per_atom": -9.61}



Record 19
{"formula": "CaErNi2As2", "functional": "PBE-GGA", "state": "optimized geometry", "lattice": [[-3.057, -1.489, -2.179], [0.915, -1.636, 3.577], [-5.040, 5.067, 3.607]], "species": ["Ca", "Er", "Ni", "Ni", "As", "As"], "fractional_positions": [[0.000, 0.000, 0.000], [0.000, 0.000, 0.500], [0.333, 0.667, 0.732], [0.667, 0.333, 0.268], [0.333, 0.667, 0.258], [0.667, 0.333, 0.742]], "sg": "P-3m1, No. 164", "magmom_total_mub_per_cell": 0.000, "final_energy_ev_per_atom": -5.52}



Record 20
{"formula": "MgNiAgPb", "functional": "PBE-GGA", "state": "optimized geometry", "lattice": [[-1.157, -2.045, 4.093], [-0.203, -4.705, 0.313], [3.266, -2.344, 2.473]], "species": ["Pb", "Ni", "Mg", "Ag"], "fractional_positions": [[0.750, 0.750, 0.750], [0.000, 0.000, 0.000], [0.250, 0.250, 0.250], [0.500, 0.500, 0.500]], "sg": "F-43m, No. 216", "magmom_total_mub_per_cell": 0.000, "final_energy_ev_per_atom": -3.43}